The following is a DFT calculation (GGA+U) of InFe3O after structural relaxation.

Magnetic moment = 10.7 μB/f.u.
Uncorrected energy = -4.911 eV/atom
Theoretical density = 6235 kg/m³
Symmetry = Pm-3m (221)
E above lowest polymorph = 0.000 eV per atom

The structure in extended XYZ format:
```
5
Lattice="-0.2747 -3.4847 2.5027 4.1043 -0.9438 -0.8636 1.2494 2.3342 3.3871" Properties=species:S:1:pos:R:3 pbc="T T T"
O 0.0000 0.0000 0.0000
Fe 0.6247 1.1671 1.6936
In 2.5395 -1.0472 2.5131
Fe 2.0522 -0.4719 -0.4318
Fe -0.1373 -1.7423 1.2514
```